DFT (GGA-PBE) results for crystalline CsRbHg17 at its relaxed geometry.

Lattice parameters (Å, degrees): 8.534 8.534 8.534 80.01 80.01 80.01
Sites, in units of the cell vectors:
1 Cs 0.000 0.000 0.000
2 Rb 0.672 0.672 0.672
3 Hg 0.042 0.342 0.636
4 Hg 0.042 0.636 0.342
5 Hg 0.214 0.684 0.684
6 Hg 0.260 0.260 0.260
7 Hg 0.318 0.318 0.871
8 Hg 0.318 0.871 0.318
9 Hg 0.342 0.042 0.636
10 Hg 0.342 0.636 0.042
11 Hg 0.449 0.449 0.449
12 Hg 0.527 0.970 0.970
13 Hg 0.636 0.042 0.342
14 Hg 0.636 0.342 0.042
15 Hg 0.684 0.214 0.684
16 Hg 0.684 0.684 0.214
17 Hg 0.871 0.318 0.318
18 Hg 0.970 0.527 0.970
19 Hg 0.970 0.970 0.527

Output
V = 31.4 A^3/atom
formation energy = -2.4 eV/f.u.

***

DFT (GGA-PBE) results for crystalline Cs5RbHg2 at its relaxed geometry.

Lattice parameters (Å, degrees): 9.375 9.375 19.641 90.00 90.00 133.18
Sites, in units of the cell vectors:
1 Cs 0.069 0.931 0.618
2 Cs 0.069 0.931 0.882
3 Cs 0.262 0.738 0.250
4 Cs 0.345 0.655 0.523
5 Cs 0.345 0.655 0.977
6 Cs 0.655 0.345 0.023
7 Cs 0.655 0.345 0.477
8 Cs 0.738 0.262 0.750
9 Cs 0.931 0.069 0.118
10 Cs 0.931 0.069 0.382
11 Rb 0.422 0.578 0.750
12 Rb 0.578 0.422 0.250
13 Hg 0.149 0.851 0.080
14 Hg 0.149 0.851 0.420
15 Hg 0.851 0.149 0.580
16 Hg 0.851 0.149 0.920

Output
V = 78.7 A^3/atom
formation energy = -0.8 eV/f.u.

***

no.,ρ (g cm⁻³)
1,10.107
2,3.037